This record from Alexandria describes a geometry-optimized Tb4YSc2 structure. The functional is PBE.

Calculated values
**ΔH_f (0 K)**: 1.9 eV/f.u.

CIF file:
```
data_Tb4YSc2
_chemical_formula_sum 'Tb8 Y2 Sc4'
_space_group_name_H-M_alt 'P 42/m n m'
_space_group_IT_number 136
_space_group_name_Hall '-P 4n 2n'
_cell_length_a 8.958
_cell_length_b 8.958
_cell_length_c 5.547
_cell_angle_alpha 90.00
_cell_angle_beta 90.00
_cell_angle_gamma 90.00
loop_
_atom_site_label
_atom_site_fract_x
_atom_site_fract_y
_atom_site_fract_z
Tb1 0.104 0.363 0.000
Y1 0.000 0.000 0.000
Sc1 0.188 0.188 0.500
```